# Dy5Ga2Pt

A relaxed Dy5Ga2Pt crystal (PBE, Alexandria via LeMat-Bulk).

a b c (Å): 7.3596 7.3596 9.0384
angles (deg): 114.02 114.02 90.00
Sites, in units of the cell vectors:
Dy  0.6774  0.1774  0.7003
Dy  0.3226  0.8226  0.2997
Dy  0.9770  0.4770  0.2997
Dy  0.1774  0.0230  0.7003
Dy  0.0230  0.5230  0.7003
Dy  0.4770  0.3226  0.2997
Dy  0.8226  0.9770  0.2997
Dy  0.5230  0.6774  0.7003
Dy  0.0000  0.0000  0.0000
Dy  0.5000  0.5000  0.0000
Pt  0.2500  0.2500  0.5000
Pt  0.7500  0.7500  0.5000
Ga  0.1210  0.3790  0.0000
Ga  0.3790  0.8790  0.0000
Ga  0.8790  0.6210  0.0000
Ga  0.6210  0.1210  0.0000

Calculated values
N(E_F) = 17.9 states/eV per cell
DFT formation energy = -496 kJ/mol of formula units
size of the total moment = 0.000 μB per atom
density = 9.52 g/cm³

=====

# DyGa6Pt4

A relaxed DyGa6Pt4 crystal (PBE, Alexandria via LeMat-Bulk).

a b c (Å): 3.7733 7.6399 7.6399
angles (deg): 120.00 90.00 90.00
Sites, in units of the cell vectors:
Ga  0.5000  0.1926  0.3851
Ga  0.0000  0.5295  0.4705
Ga  0.5000  0.6149  0.8074
Ga  0.5000  0.1926  0.8074
Ga  0.0000  0.9410  0.4705
Ga  0.0000  0.5295  0.0590
Pt  0.5000  0.3928  0.1964
Pt  0.5000  0.8036  0.6072
Pt  0.5000  0.8036  0.1964
Pt  0.0000  0.3333  0.6667
Dy  0.0000  0.0000  0.0000

Calculated values
N(E_F) = 3.7 states/eV per cell
DFT formation energy = -800 kJ/mol of formula units
size of the total moment = 0.000 μB per atom
density = 11.85 g/cm³

=====

| no. | uncorrected energy (eV per atom) |
| --- | --- |
| 1 | -5.031 |
| 2 | -5.019 |